1.
Computed, not measured: a relaxed CuHO2 crystal at the GGA-PBEsol level of DFT.

abc: 2.7597 4.2855 5.5738
angles: 90.00 90.00 90.00
Sites, in units of the cell vectors:
O 0.5000 0.4570 0.1408
O 0.0000 0.9570 0.8592
H 0.0000 0.6890 0.7454
Cu 0.5000 0.2082 0.7563
H 0.5000 0.1890 0.2546
Cu 0.0000 0.7082 0.2437
O 0.5000 0.9594 0.3536
O 0.0000 0.4594 0.6464

***

2.
Computed, not measured: a relaxed CuHO2 crystal at the GGA-PBEsol level of DFT.

abc: 2.9251 3.9421 5.9673
angles: 90.00 104.19 90.00
Sites, in units of the cell vectors:
Cu 0.8225 0.4618 0.6449
Cu 0.1775 0.9618 0.3551
O 0.2079 0.4635 0.4158
O 0.4332 0.4697 0.8665
H 0.5129 0.7542 0.0258
O 0.7921 0.9635 0.5842
O 0.5668 0.9697 0.1335
H 0.4871 0.2542 0.9742

***

3.
Computed, not measured: a relaxed CuH3O crystal at the GGA-PBEsol level of DFT.

abc: 3.2009 3.2009 3.2009
angles: 90.00 90.00 90.00
Sites, in units of the cell vectors:
O 0.5000 0.5000 0.5000
Cu 0.0000 0.0000 0.0000
H 0.5000 0.0000 0.0000
H 0.0000 0.0000 0.5000
H 0.0000 0.5000 0.0000

***

4.
Computed, not measured: a relaxed CuHO2 crystal at the GGA-PBEsol level of DFT.

abc: 2.7471 3.3456 4.3834
angles: 97.56 90.00 114.24
Sites, in units of the cell vectors:
O 0.0849 0.1697 0.7652
H 0.0000 0.0000 0.5000
O 0.9151 0.8303 0.2348
Cu 0.5000 0.0000 0.0000

***

E_tot: -5.200, -5.170, -3.064, -5.185 (eV per atom)